Computed, not measured: an optimized crystal structure of SrNdZnGa at the PBE level of DFT.

Values from the calculation:
DFT total energy, eV/atom: -3.02
Size of the total moment, Bohr magnetons per cell: 0.00

Lattice parameters (Å, degrees): 7.5835 7.5835 7.5835 90.00 90.00 90.00
Space group F-43m (No. 216)
One atom of each set of equivalent atoms:
1 Sr 0.0000 0.0000 0.0000
2 Nd 0.0000 0.0000 0.5000
3 Zn 0.2500 0.2500 0.2500
4 Ga 0.2500 0.2500 0.7500